First-principles (PBE+U) data for a relaxed KPrCr2O8 crystal, as listed in Alexandria.

Space-group type: P-3 (147)
Magnetization, μB/atom: 0.0000
Electronic total energy, eV per atom: -6.899

Cell lengths 5.883, 5.883, 7.833 Å; angles 90.00, 90.00, 120.00 degrees
Fractional positions:
Cr  0.333  0.667  0.767
O  0.826  0.645  0.304
O  0.819  0.174  0.304
Cr  0.667  0.333  0.233
O  0.174  0.355  0.696
O  0.645  0.819  0.696
O  0.667  0.333  0.027
Pr  0.000  0.000  0.500
O  0.181  0.826  0.696
K  0.000  0.000  0.000
O  0.333  0.667  0.973
O  0.355  0.181  0.304